# CePrDy5Ho2

CePrDy5Ho2 after structural relaxation (PBE, Alexandria via LeMat-Bulk).

a b c (Å): 5.6986 21.5128 9.5917
angles (deg): 90.00 90.00 90.00
Last column: nearest neighbours and their distance in Å.
Space group Cmc2_1 (No. 36)
Unique sites:
Ce (0.0000, 0.1958, 0.0000) [4 per cell]  2 Ho 3.32-3.37, 5 Dy 3.34-3.48, 2 Pr 3.69
Pr (0.0000, 0.4032, 0.3985) [4 per cell]  3 Dy 3.07-3.43
Dy (0.0000, 0.0121, 0.9922) [4 per cell]  2 Ho 3.27-3.65, 2 Pr 3.50, 2 Dy 3.62
Dy (0.0000, 0.2660, 0.3109) [4 per cell]  1 Pr 3.07, 1 Ho 3.29, 1 Ce 3.34
Dy (0.0000, 0.3069, 0.6937) [4 per cell]  3 Ce 3.40-3.79, 5 Dy 3.44-3.78, 3 Ho 3.48-3.62, 1 Pr 3.51
Dy (0.0000, 0.3939, 0.0158) [4 per cell]  3 Dy 3.27-3.61, 4 Ho 3.33-3.53
Dy (0.0000, 0.4711, 0.7218) [4 per cell]  2 Pr 3.19-3.43, 3 Dy 3.27-3.54, 2 Ho 3.45
Ho (0.0000, 0.1130, 0.2984) [4 per cell]  9 Dy 3.27-3.65, 1 Ce 3.37
Ho (0.0000, 0.1386, 0.6791) [4 per cell]  1 Ce 3.32, 4 Dy 3.33-3.70, 2 Pr 3.65, 1 Ho 3.69

***

# TlCd5

TlCd5 after structural relaxation (PBE, Alexandria via LeMat-Bulk).

a b c (Å): 13.6476 3.0910 7.1338
angles (deg): 90.00 103.93 90.00
Last column: nearest neighbours and their distance in Å.
Space group Cm (No. 8)
Unique sites:
Tl (0.0000, 0.0000, 0.0000) [2 per cell]  2 Tl 3.09, 8 Cd 3.34-3.40
Cd (0.0011, 0.0000, 0.5026) [2 per cell]  10 Cd 3.09-3.33
Cd (0.1648, 0.5000, 0.3567) [2 per cell]  9 Cd 3.09-3.30, 2 Tl 3.34
Cd (0.1814, 0.5000, 0.8260) [2 per cell]  9 Cd 3.09-3.32, 2 Tl 3.40
Cd (0.3206, 0.0000, 0.1776) [2 per cell]  9 Cd 3.09-3.33, 2 Tl 3.39
Cd (0.3353, 0.0000, 0.6427) [2 per cell]  9 Cd 3.09-3.28, 2 Tl 3.34

Values from the calculation:
Relative energy among the computed polymorphs in kJ per mole of atoms: 0.0

***

# Ac2Zn3Au4

Ac2Zn3Au4 after structural relaxation (PBE, Alexandria via LeMat-Bulk).

a b c (Å): 6.1810 16.3102 8.0495
angles (deg): 90.00 90.00 90.00
Last column: nearest neighbours and their distance in Å.
Space group Cmce (No. 64)
Unique sites:
Ac (0.0000, 0.1177, 0.0809) [8 per cell]  8 Au 3.29-3.38, 4 Zn 3.39-3.48
Zn (0.0000, 0.0000, 0.5000) [4 per cell]  4 Au 2.65
Zn (0.2500, 0.2170, 0.7500) [8 per cell]  5 Au 2.78-2.83, 2 Zn 3.09
Au (0.0000, 0.1865, 0.4699) [8 per cell]  5 Zn 2.78-3.05
Au (0.2500, 0.0467, 0.7500) [8 per cell]  3 Zn 2.65-2.78

***

# YScGa

YScGa after structural relaxation (PBE, Alexandria via LeMat-Bulk).

a b c (Å): 4.3212 4.3212 7.7628
angles (deg): 90.00 90.00 90.00
Last column: nearest neighbours and their distance in Å.
Space group P4/nmm (No. 129, origin choice 2)
Unique sites:
Y (0.2500, 0.2500, 0.1448) [2 per cell]  5 Ga 3.05-3.16
Sc (0.2500, 0.7500, 0.5000) [2 per cell]  4 Ga 2.92, 4 Sc 3.06
Ga (0.2500, 0.2500, 0.7521) [2 per cell]  4 Sc 2.92, 5 Y 3.05-3.16

Values from the calculation:
Relative energy among the computed polymorphs in kJ per mole of atoms: 0.8

***

# Pr6HoSn4

Pr6HoSn4 after structural relaxation (PBE, Alexandria via LeMat-Bulk).

a b c (Å): 8.0691 8.0691 12.2085
angles (deg): 90.00 90.00 90.00
Last column: nearest neighbours and their distance in Å.
Space group I-42m (No. 121)
Unique sites:
Pr (0.0000, 0.5000, 0.0000) [4 per cell]  4 Sn 3.11
Pr (0.1594, 0.1594, 0.3376) [8 per cell]  4 Sn 3.14-3.32
Ho (0.0000, 0.0000, 0.0000) [2 per cell]  4 Sn 3.28
Sn (0.2330, 0.2330, 0.6005) [8 per cell]  6 Pr 3.11-3.32, 1 Ho 3.28

***

# BaReCl2

BaReCl2 after structural relaxation (PBE, Alexandria via LeMat-Bulk).

a b c (Å): 3.7770 3.7770 10.6915
angles (deg): 90.00 90.00 90.00
Last column: nearest neighbours and their distance in Å.
Space group P4/mmm (No. 123)
Unique sites:
Ba (0.0000, 0.0000, 0.0000) [1 per cell]  8 Cl 3.16
Re (0.0000, 0.0000, 0.5000) [1 per cell]  4 Re 3.78
Cl (0.5000, 0.5000, 0.1588) [2 per cell]  4 Ba 3.16, 1 Cl 3.40

Values from the calculation:
Relative energy among the computed polymorphs in kJ per mole of atoms: 20.5
Uncorrected formation energy in eV per formula unit: 0.271

***

# TaCu3W

TaCu3W after structural relaxation (PBE, Alexandria via LeMat-Bulk).

a b c (Å): 4.5272 4.5272 4.5272
angles (deg): 90.00 90.00 90.00
Last column: nearest neighbours and their distance in Å.
Space group Pm-3m (No. 221)
Unique sites:
Ta (0.0000, 0.0000, 0.0000) [1 per cell]  12 Cu 3.20
Cu (0.0000, 0.5000, 0.5000) [3 per cell]  2 W 2.26
W (0.5000, 0.5000, 0.5000) [1 per cell]  6 Cu 2.26

Values from the calculation:
Relative energy among the computed polymorphs in kJ per mole of atoms: 0.0

***

# KNa2TlBi

KNa2TlBi after structural relaxation (PBE, Alexandria via LeMat-Bulk).

a b c (Å): 5.9941 5.9941 6.4862
angles (deg): 90.00 90.00 90.00
Last column: nearest neighbours and their distance in Å.
Space group P4/mmm (No. 123)
Unique sites:
K (0.0000, 0.0000, 0.0000) [1 per cell]  4 Tl 4.24, 8 Na 4.42
Na (0.0000, 0.5000, 0.5000) [2 per cell]  2 Bi 3.00
Tl (0.5000, 0.5000, 0.0000) [1 per cell]  2 Bi 3.24
Bi (0.5000, 0.5000, 0.5000) [1 per cell]  4 Na 3.00, 2 Tl 3.24

***

# Cr3Pb

Cr3Pb after structural relaxation (PBE, Alexandria via LeMat-Bulk).

a b c (Å): 8.9839 3.0531 4.6313
angles (deg): 90.00 107.54 90.00
Last column: nearest neighbours and their distance in Å.
Space group C2/m (No. 12)
Unique sites:
Cr (0.0000, 0.0000, 0.0000) [2 per cell]  6 Cr 2.49-2.79, 4 Pb 2.77
Cr (0.2289, 0.5000, 0.1764) [4 per cell]  4 Cr 2.35-2.49
Pb (0.0000, 0.5000, 0.5000) [2 per cell]  10 Cr 2.77-2.89, 2 Pb 3.05

***

# K2NdNb5O15

K2NdNb5O15 after structural relaxation (PBE, Alexandria via LeMat-Bulk).

a b c (Å): 12.7880 12.7880 3.9666
angles (deg): 90.00 90.00 90.00
Last column: nearest neighbours and their distance in Å.
Space group P4/mbm (No. 127)
Unique sites:
K (0.1711, 0.3289, 0.0000) [4 per cell]  7 O 2.85-3.09
Nd (0.0000, 0.0000, 0.0000) [2 per cell]  12 O 2.63-2.72
Nb (0.0000, 0.5000, 0.5000) [2 per cell]  6 O 1.98-2.01
Nb (0.0762, 0.7869, 0.5000) [8 per cell]  6 O 1.93-2.09
O (0.0000, 0.5000, 0.0000) [2 per cell]  2 Nb 1.98
O (0.0008, 0.3425, 0.5000) [8 per cell]  2 Nb 1.93-2.01
O (0.0594, 0.1324, 0.5000) [8 per cell]  2 Nb 2.02-2.09
O (0.0791, 0.8104, 0.0000) [8 per cell]  2 Nb 2.01
O (0.2161, 0.7161, 0.5000) [4 per cell]  2 Nb 2.00

Values from the calculation:
Uncorrected formation energy in eV per formula unit: -60.624

***

# SrBe2Mo

SrBe2Mo after structural relaxation (PBE, Alexandria via LeMat-Bulk).

a b c (Å): 6.5557 6.5557 6.5557
angles (deg): 90.00 90.00 90.00
Last column: nearest neighbours and their distance in Å.
Space group F-43m (No. 216)
Unique sites:
Sr (0.0000, 0.0000, 0.0000) [4 per cell]  4 Mo 2.84, 4 Be 2.84
Be (0.0000, 0.0000, 0.5000) [4 per cell]  4 Mo 2.84, 4 Be 2.84
Be (0.2500, 0.2500, 0.2500) [4 per cell]  4 Be 2.84, 4 Sr 2.84
Mo (0.2500, 0.2500, 0.7500) [4 per cell]  4 Be 2.84, 4 Sr 2.84

Values from the calculation:
Relative energy among the computed polymorphs in kJ per mole of atoms: 87.5

***

# Ca2Ga3SiPt4

Ca2Ga3SiPt4 after structural relaxation (PBE, Alexandria via LeMat-Bulk).

a b c (Å): 4.1980 4.1980 10.6447
angles (deg): 90.00 90.00 90.00
Last column: nearest neighbours and their distance in Å.
Space group P-4m2 (No. 115)
Unique sites:
Ca (0.0000, 0.5000, 0.2450) [2 per cell]  6 Ga 3.22-3.35, 8 Pt 3.22-3.43, 2 Si 3.35
Ga (0.0000, 0.0000, 0.0000) [1 per cell]  4 Pt 2.50
Ga (0.0000, 0.5000, 0.6374) [2 per cell]  5 Pt 2.51-2.56
Si (0.5000, 0.5000, 0.0000) [1 per cell]  4 Pt 2.50
Pt (0.0000, 0.0000, 0.5000) [1 per cell]  4 Ga 2.56
Pt (0.0000, 0.5000, 0.8732) [2 per cell]  2 Si 2.50, 3 Ga 2.50-2.51
Pt (0.5000, 0.5000, 0.5000) [1 per cell]  4 Ga 2.56

Values from the calculation:
Uncorrected formation energy in eV per formula unit: -8.780

***

# Mn2CuIr

Mn2CuIr after structural relaxation (PBE, Alexandria via LeMat-Bulk).

a b c (Å): 6.7851 6.7851 5.1640
angles (deg): 90.00 90.00 90.00
Last column: nearest neighbours and their distance in Å.
Space group I-42d (No. 122)
Unique sites:
Mn (0.2452, 0.2500, 0.1250) [8 per cell]  2 Cu 2.46, 2 Ir 2.51, 2 Mn 2.58
Cu (0.0000, 0.0000, 0.0000) [4 per cell]  4 Mn 2.46, 2 Ir 2.58
Ir (0.0000, 0.0000, 0.5000) [4 per cell]  4 Mn 2.51, 2 Cu 2.58

***

# TbZnO

TbZnO after structural relaxation (PBE, Alexandria via LeMat-Bulk).

a b c (Å): 3.2879 3.2879 8.8991
angles (deg): 90.00 90.00 90.00
Last column: nearest neighbours and their distance in Å.
Space group P4/nmm (No. 129, origin choice 2)
Unique sites:
Tb (0.2500, 0.2500, 0.1620) [2 per cell]  5 O 2.33-2.39
Zn (0.2500, 0.2500, 0.5630) [2 per cell]  4 Zn 2.58
O (0.2500, 0.2500, 0.9000) [2 per cell]  5 Tb 2.33-2.39

Values from the calculation:
Uncorrected formation energy in eV per formula unit: -5.739

***

# NiPbCl2

NiPbCl2 after structural relaxation (PBE, Alexandria via LeMat-Bulk).

a b c (Å): 4.1012 6.0473 8.1188
angles (deg): 90.00 90.00 90.00
Last column: nearest neighbours and their distance in Å.
Space group Cmm2 (No. 35)
Unique sites:
Ni (0.0000, 0.0000, 0.0000) [2 per cell]  2 Cl 2.18
Pb (0.0000, 0.5000, 0.7217) [2 per cell]  3 Cl 2.83-3.00, 2 Ni 3.05
Cl (0.0000, 0.0000, 0.4820) [2 per cell]  2 Pb 2.83
Cl (0.0000, 0.5000, 0.0907) [2 per cell]  2 Ni 2.18

Values from the calculation:
Relative energy among the computed polymorphs in kJ per mole of atoms: 21.3
Uncorrected formation energy in eV per formula unit: -1.002

***

# PIrSCl2

PIrSCl2 after structural relaxation (PBE, Alexandria via LeMat-Bulk).

a b c (Å): 4.3551 4.3551 5.3808
angles (deg): 90.00 90.00 90.00
Last column: nearest neighbours and their distance in Å.
Space group P4/mmm (No. 123)
Unique sites:
P (0.0000, 0.0000, 0.0000) [1 per cell]  2 S 2.69
Ir (0.5000, 0.5000, 0.0000) [1 per cell]  4 P 3.08
S (0.0000, 0.0000, 0.5000) [1 per cell]  4 Cl 2.18
Cl (0.0000, 0.5000, 0.5000) [2 per cell]  2 S 2.18

Values from the calculation:
Relative energy among the computed polymorphs in kJ per mole of atoms: 67.8
Uncorrected formation energy in eV per formula unit: 6.708

***

# AlRhAu

AlRhAu after structural relaxation (PBE, Alexandria via LeMat-Bulk).

a b c (Å): 5.8706 5.8706 5.8706
angles (deg): 90.00 90.00 90.00
Last column: nearest neighbours and their distance in Å.
Space group F-43m (No. 216)
Unique sites:
Al (0.0000, 0.0000, 0.0000) [4 per cell]  4 Rh 2.54, 4 Au 2.54
Rh (0.2500, 0.2500, 0.7500) [4 per cell]  4 Al 2.54
Au (0.2500, 0.2500, 0.2500) [4 per cell]  4 Al 2.54

Values from the calculation:
Relative energy among the computed polymorphs in kJ per mole of atoms: 9.4

***

# CaRu3N

CaRu3N after structural relaxation (PBE, Alexandria via LeMat-Bulk).

a b c (Å): 4.7894 4.7894 4.7894
angles (deg): 90.00 90.00 90.00
Last column: nearest neighbours and their distance in Å.
Space group Pm-3m (No. 221)
Unique sites:
Ca (0.0000, 0.0000, 0.0000) [1 per cell]  6 Ru 2.39
Ru (0.0000, 0.0000, 0.5000) [3 per cell]  2 Ca 2.39
N (0.5000, 0.5000, 0.5000) [1 per cell]  12 Ru 3.39

Values from the calculation:
Relative energy among the computed polymorphs in kJ per mole of atoms: 318.2
Uncorrected formation energy in eV per formula unit: 17.163

***

# Pr12Os3N5

Pr12Os3N5 after structural relaxation (PBE, Alexandria via LeMat-Bulk).

a b c (Å): 15.8461 15.8461 15.8461
angles (deg): 90.00 90.00 90.00
Last column: nearest neighbours and their distance in Å.
Space group Ia-3d (No. 230)
Unique sites:
Pr (0.0287, 0.0557, 0.6512) [96 per cell]  2 N 2.36-2.59
Os (0.0000, 0.2500, 0.1250) [24 per cell]  8 Pr 3.03-3.14
N (0.0000, 0.0000, 0.0000) [16 per cell]  6 Pr 2.59
N (0.0000, 0.2500, 0.3750) [24 per cell]  4 Pr 2.36

Values from the calculation:
Uncorrected formation energy in eV per formula unit: -10.930

***

# LaY3Cd

LaY3Cd after structural relaxation (PBE, Alexandria via LeMat-Bulk).

a b c (Å): 5.6353 5.6353 5.6353
angles (deg): 90.00 90.00 90.00
Last column: nearest neighbours and their distance in Å.
Space group Pm-3m (No. 221)
Unique sites:
La (0.0000, 0.0000, 0.0000) [1 per cell]  6 Y 2.82
Y (0.0000, 0.0000, 0.5000) [3 per cell]  2 La 2.82
Cd (0.5000, 0.5000, 0.5000) [1 per cell]  12 Y 3.98

Values from the calculation:
Relative energy among the computed polymorphs in kJ per mole of atoms: 78.9

***

| no. | magnetic moment (μB/cell) | DFT total energy (Ry/atom) |
| --- | --- | --- |
| 1 | 3.4 | -0.337 |
| 2 | 0.0 | -0.084 |
| 3 | 0.0 | -0.246 |
| 4 | 2.2 | -0.422 |
| 5 | 0.0 | -0.355 |
| 6 | 5.0 | -0.327 |
| 7 | 0.0 | -0.412 |
| 8 | 0.0 | -0.151 |
| 9 | 1.3 | -0.548 |
| 10 | 0.0 | -0.615 |
| 11 | 8.6 | -0.272 |
| 12 | 0.0 | -0.378 |
| 13 | 30.7 | -0.538 |
| 14 | 0.0 | -0.407 |
| 15 | 0.7 | -0.261 |
| 16 | 1.4 | -0.226 |
| 17 | 0.0 | -0.385 |
| 18 | 7.5 | -0.309 |
| 19 | 0.0 | -0.528 |
| 20 | 0.0 | -0.313 |